# PBE TmHfIr, optimized geometry
data_TmHfIr
_cell_length_a 6.7792
_cell_length_b 4.4782
_cell_length_c 8.6247
_cell_angle_alpha 90.00
_cell_angle_beta 90.00
_cell_angle_gamma 90.00
_symmetry_space_group_name_H-M 'P n m a'
_symmetry_Int_Tables_number 62
_symmetry_space_group_name_Hall '-P 2ac 2n'
loop_
_atom_site_label
_atom_site_type_symbol
_atom_site_fract_x
_atom_site_fract_y
_atom_site_fract_z
Tm1 Tm 0.1462 0.2500 0.0841
Hf1 Hf 0.0057 0.2500 0.6582
Ir1 Ir 0.2177 0.2500 0.4057
# energy	-101.22	eV for the cell shown
# E above lowest polymorph	0.000	eV per formula unit
# spin magnetization	0.0	μB/cell
# ΔE_f	-0.6731	eV/atom